(i)
A plane-wave DFT calculation with PBE was carried out for crystalline SmHo3Pd at its relaxed geometry.

Cell: 7.1518 7.1518 7.8553 Å, 119.61 119.61 71.92°
Closest atoms and distances in Å follow each position.
Fractional positions:
1 Sm 0.0417 0.0417 0.3096  1 Pd 2.92
2 Sm 0.9583 0.9583 0.6904  1 Pd 2.92
3 Ho 0.0975 0.4989 0.2641  2 Pd 2.78-3.02
4 Ho 0.4261 0.4261 0.7272  2 Pd 2.82-2.97
5 Ho 0.4989 0.0975 0.2641  2 Pd 2.78-3.02
6 Ho 0.5011 0.9025 0.7359  2 Pd 2.78-3.02
7 Ho 0.5739 0.5739 0.2728  2 Pd 2.82-2.97
8 Ho 0.9025 0.5011 0.7359  2 Pd 2.78-3.02
9 Pd 0.2743 0.2743 0.9250  6 Ho 2.78-3.02, 1 Sm 2.92
10 Pd 0.7257 0.7257 0.0750  6 Ho 2.78-3.02, 1 Sm 2.92

Calculated density in g/cm³: 8.25

---

(ii)
A plane-wave DFT calculation with PBE was carried out for crystalline SmHo3Pd at its relaxed geometry.

Cell: 5.4458 5.4458 5.4458 Å, 90.00 90.00 90.00°
Closest atoms and distances in Å follow each position.
Fractional positions:
1 Sm 0.0000 0.0000 0.0000  12 Ho 3.85
2 Ho 0.0000 0.5000 0.5000  2 Pd 2.72
3 Ho 0.5000 0.0000 0.5000  2 Pd 2.72
4 Ho 0.5000 0.5000 0.0000  2 Pd 2.72
5 Pd 0.5000 0.5000 0.5000  6 Ho 2.72

Calculated density in g/cm³: 7.73

---

Ranked by calculated energy, most stable first: (i), (ii).

---

(i)
A plane-wave DFT calculation with PBE was carried out for crystalline SmHoZnPd at its relaxed geometry.

Cell: 5.0470 5.0470 5.0470 Å, 60.00 60.00 60.00°
Closest atoms and distances in Å follow each position.
Fractional positions:
1 Sm 0.0000 0.0000 0.0000  4 Pd 3.09, 4 Zn 3.09
2 Ho 0.5000 0.5000 0.5000  4 Pd 3.09, 4 Zn 3.09
3 Zn 0.2500 0.2500 0.2500  4 Ho 3.09, 4 Sm 3.09
4 Pd 0.7500 0.7500 0.7500  4 Ho 3.09, 4 Sm 3.09

Calculated density in g/cm³: 8.90

---

(ii)
A plane-wave DFT calculation with PBE was carried out for crystalline SmHoZnPd at its relaxed geometry.

Cell: 3.5856 3.5856 7.0550 Å, 90.00 90.00 90.00°
Closest atoms and distances in Å follow each position.
Fractional positions:
1 Sm 0.0000 0.0000 0.0000  4 Pd 3.14, 4 Zn 3.15, 1 Ho 3.46
2 Ho 0.0000 0.0000 0.4903  4 Pd 3.00, 4 Zn 3.06
3 Zn 0.5000 0.5000 0.7339  4 Ho 3.06, 4 Sm 3.15, 1 Pd 3.32
4 Pd 0.5000 0.5000 0.2635  4 Ho 3.00, 4 Sm 3.14, 1 Zn 3.32

Calculated density in g/cm³: 8.92

---

Ranked by calculated energy, most stable first: (ii), (i).

---

(i)
A plane-wave DFT calculation with PBE was carried out for crystalline HoSnPd6 at its relaxed geometry.

Cell: 4.0928 4.0928 8.0937 Å, 90.00 90.00 90.00°
Closest atoms and distances in Å follow each position.
Fractional positions:
1 Ho 0.0000 0.0000 0.0000  12 Pd 2.89-2.92
2 Sn 0.0000 0.0000 0.5000  12 Pd 2.84-2.89
3 Pd 0.0000 0.5000 0.2573  8 Pd 2.84-2.92, 2 Sn 2.84, 2 Ho 2.92
4 Pd 0.0000 0.5000 0.7427  8 Pd 2.84-2.92, 2 Sn 2.84, 2 Ho 2.92
5 Pd 0.5000 0.0000 0.2573  8 Pd 2.84-2.92, 2 Sn 2.84, 2 Ho 2.92
6 Pd 0.5000 0.0000 0.7427  8 Pd 2.84-2.92, 2 Sn 2.84, 2 Ho 2.92
7 Pd 0.5000 0.5000 0.0000  4 Ho 2.89, 8 Pd 2.92
8 Pd 0.5000 0.5000 0.5000  8 Pd 2.84, 4 Sn 2.89

Calculated density in g/cm³: 11.29

---

(ii)
A plane-wave DFT calculation with PBE was carried out for crystalline HoSnPd6 at its relaxed geometry.

Cell: 5.4489 5.4489 5.4489 Å, 86.84 86.84 86.84°
Closest atoms and distances in Å follow each position.
Fractional positions:
1 Ho 0.0000 0.0000 0.0000  6 Pd 2.75
2 Sn 0.5000 0.5000 0.5000  6 Pd 2.64
3 Pd 0.1658 0.1658 0.5383  1 Sn 2.64, 5 Pd 2.69-2.85, 1 Ho 2.75
4 Pd 0.1658 0.5383 0.1658  1 Sn 2.64, 5 Pd 2.69-2.85, 1 Ho 2.75
5 Pd 0.4617 0.8342 0.8342  1 Sn 2.64, 5 Pd 2.69-2.85, 1 Ho 2.75
6 Pd 0.5383 0.1658 0.1658  1 Sn 2.64, 5 Pd 2.69-2.85, 1 Ho 2.75
7 Pd 0.8342 0.4617 0.8342  1 Sn 2.64, 5 Pd 2.69-2.85, 1 Ho 2.75
8 Pd 0.8342 0.8342 0.4617  1 Sn 2.64, 5 Pd 2.69-2.85, 1 Ho 2.75

Calculated density in g/cm³: 9.51

---

Ranked by calculated energy, most stable first: (i), (ii).

---

(i)
A plane-wave DFT calculation with PBE was carried out for crystalline Ho2SnPd4 at its relaxed geometry.

Cell: 7.9327 7.9327 7.9327 Å, 143.97 143.97 51.87°
Closest atoms and distances in Å follow each position.
Fractional positions:
1 Ho 0.1306 0.1306 0.0000  1 Pd 2.62
2 Ho 0.8694 0.8694 0.0000  1 Pd 2.62
3 Sn 0.5000 0.5000 0.0000  6 Pd 2.45-2.65
4 Pd 0.0000 0.5000 0.5000  2 Sn 2.45
5 Pd 0.3140 0.3140 0.0000  1 Ho 2.62, 1 Sn 2.65
6 Pd 0.5000 0.0000 0.5000  2 Sn 2.45
7 Pd 0.6860 0.6860 0.0000  1 Ho 2.62, 1 Sn 2.65

Calculated density in g/cm³: 8.45

---

(ii)
A plane-wave DFT calculation with PBE was carried out for crystalline Ho2SnPd4 at its relaxed geometry.

Cell: 4.5913 4.5913 8.1623 Å, 106.15 106.15 59.83°
Closest atoms and distances in Å follow each position.
Fractional positions:
1 Ho 0.0719 0.0719 0.2153  10 Pd 2.97-3.22
2 Ho 0.9281 0.9281 0.7847  10 Pd 2.97-3.22
3 Sn 0.5000 0.5000 0.5000  6 Pd 2.76
4 Pd 0.2002 0.2002 0.5997  3 Sn 2.76, 4 Pd 2.93-3.08, 4 Ho 2.97-3.01
5 Pd 0.3265 0.3265 0.9787  4 Pd 2.67-2.93
6 Pd 0.6735 0.6735 0.0213  4 Pd 2.67-2.93
7 Pd 0.7998 0.7998 0.4003  3 Sn 2.76, 4 Pd 2.93-3.08, 4 Ho 2.97-3.01

Calculated density in g/cm³: 10.30

---

Ranked by calculated energy, most stable first: (ii), (i).

---

(i)
A plane-wave DFT calculation with PBE was carried out for crystalline SrHoPd at its relaxed geometry.

Cell: 6.2101 6.2101 8.2618 Å, 92.24 92.24 35.91°
Closest atoms and distances in Å follow each position.
Fractional positions:
1 Sr 0.1376 0.1376 0.3598  5 Pd 3.17-3.31
2 Sr 0.8624 0.8624 0.6402  5 Pd 3.17-3.31
3 Ho 0.1325 0.1325 0.8894  2 Pd 2.78
4 Ho 0.8675 0.8675 0.1106  2 Pd 2.78
5 Pd 0.4170 0.4170 0.3476  2 Ho 2.78
6 Pd 0.5830 0.5830 0.6524  2 Ho 2.78

Calculated density in g/cm³: 6.38

---

(ii)
A plane-wave DFT calculation with PBE was carried out for crystalline SrHoPd at its relaxed geometry.

Cell: 7.1494 7.1494 7.1494 Å, 150.41 150.41 42.34°
Closest atoms and distances in Å follow each position.
Fractional positions:
1 Sr 0.0000 0.0000 0.0000  4 Pd 3.37, 1 Ho 3.51, 4 Sr 3.65
2 Ho 0.2629 0.2629 0.0000  4 Pd 2.91
3 Pd 0.6623 0.6623 0.0000  4 Ho 2.91

Calculated density in g/cm³: 6.71

---

Ranked by calculated energy, most stable first: (ii), (i).

---

(i)
A plane-wave DFT calculation with PBE was carried out for crystalline TbHoPd4 at its relaxed geometry.

Cell: 15.4594 15.4594 3.9192 Å, 90.00 90.00 164.72°
Closest atoms and distances in Å follow each position.
Fractional positions:
1 Tb 0.2016 0.7984 0.0000  8 Pd 2.86-2.87
2 Tb 0.7984 0.2016 0.0000  8 Pd 2.86-2.87
3 Ho 0.4321 0.5679 0.5000  8 Pd 2.86-2.93
4 Ho 0.5679 0.4321 0.5000  8 Pd 2.86-2.93
5 Pd 0.0000 0.0000 0.5000  4 Pd 2.84, 4 Ho 2.93
6 Pd 0.1336 0.8664 0.5000  4 Pd 2.84, 2 Tb 2.86, 2 Ho 2.88
7 Pd 0.2848 0.7152 0.5000  4 Tb 2.87, 4 Pd 2.96-3.12
8 Pd 0.3638 0.6362 0.0000  6 Pd 2.84-3.12, 2 Ho 2.87, 2 Tb 2.87
9 Pd 0.5000 0.5000 0.0000  4 Pd 2.84, 4 Ho 2.86
10 Pd 0.6362 0.3638 0.0000  6 Pd 2.84-3.12, 2 Ho 2.87, 2 Tb 2.87
11 Pd 0.7152 0.2848 0.5000  4 Tb 2.87, 4 Pd 2.96-3.12
12 Pd 0.8664 0.1336 0.5000  4 Pd 2.84, 2 Tb 2.86, 2 Ho 2.88

Calculated density in g/cm³: 10.09

---

(ii)
A plane-wave DFT calculation with PBE was carried out for crystalline TbHoPd4 at its relaxed geometry.

Cell: 5.4442 5.4442 5.4442 Å, 60.00 60.00 60.00°
Closest atoms and distances in Å follow each position.
Fractional positions:
1 Tb 0.0000 0.0000 0.0000  12 Pd 3.19, 4 Ho 3.33
2 Ho 0.7500 0.7500 0.7500  12 Pd 3.19, 4 Tb 3.33
3 Pd 0.3751 0.3751 0.3751  6 Pd 2.72
4 Pd 0.3751 0.3751 0.8747  6 Pd 2.72
5 Pd 0.3751 0.8747 0.3751  6 Pd 2.72
6 Pd 0.8747 0.3751 0.3751  6 Pd 2.72

Calculated density in g/cm³: 10.91

---

Ranked by calculated energy, most stable first: (ii), (i).

---

(i)
A plane-wave DFT calculation with PBE was carried out for crystalline Tb2Ho3Pd2 at its relaxed geometry.

Cell: 6.4573 6.4573 9.0547 Å, 115.73 115.73 33.37°
Closest atoms and distances in Å follow each position.
Fractional positions:
1 Tb 0.1565 0.1565 0.3128  2 Pd 3.02
2 Tb 0.8435 0.8435 0.6872  2 Pd 3.02
3 Ho 0.3863 0.3863 0.0596  3 Pd 2.91-2.94
4 Ho 0.5000 0.5000 0.5000  4 Pd 2.89
5 Ho 0.6137 0.6137 0.9404  3 Pd 2.91-2.94
6 Pd 0.1695 0.1695 0.7365  5 Ho 2.89-2.94, 2 Tb 3.02
7 Pd 0.8305 0.8305 0.2635  5 Ho 2.89-2.94, 2 Tb 3.02

Calculated density in g/cm³: 9.20

---

(ii)
A plane-wave DFT calculation with PBE was carried out for crystalline Tb2Ho3Pd2 at its relaxed geometry.

Cell: 3.6967 6.5767 8.3453 Å, 83.92 77.33 73.74°
Closest atoms and distances in Å follow each position.
Fractional positions:
1 Tb 0.1132 0.1494 0.1246  1 Pd 2.84
2 Tb 0.8868 0.8506 0.8754  1 Pd 2.84
3 Ho 0.3430 0.6005 0.2136  3 Pd 2.93-2.95
4 Ho 0.5000 0.0000 0.5000  4 Pd 2.94
5 Ho 0.6570 0.3995 0.7864  3 Pd 2.93-2.95
6 Pd 0.1407 0.6464 0.5725  1 Tb 2.84, 2 Pd 2.90-2.91, 5 Ho 2.93-2.95
7 Pd 0.8593 0.3536 0.4275  1 Tb 2.84, 2 Pd 2.90-2.91, 5 Ho 2.93-2.95

Calculated density in g/cm³: 8.97

---

Ranked by calculated energy, most stable first: (i), (ii).

---

(i)
A plane-wave DFT calculation with PBE was carried out for crystalline TbHo4Pd2 at its relaxed geometry.

Cell: 15.1753 15.1753 15.1753 Å, 14.90 14.90 14.90°
Closest atoms and distances in Å follow each position.
Fractional positions:
1 Tb 0.0000 0.0000 0.0000  6 Ho 3.61, 6 Tb 3.93
2 Ho 0.1979 0.1979 0.1979  3 Pd 2.80
3 Ho 0.3956 0.3956 0.3956  3 Pd 2.81
4 Ho 0.6044 0.6044 0.6044  3 Pd 2.81
5 Ho 0.8021 0.8021 0.8021  3 Pd 2.80
6 Pd 0.0989 0.0989 0.0989  6 Ho 2.80-2.81
7 Pd 0.9011 0.9011 0.9011  6 Ho 2.80-2.81

Calculated density in g/cm³: 8.51

---

(ii)
A plane-wave DFT calculation with PBE was carried out for crystalline TbHo4Pd2 at its relaxed geometry.

Cell: 7.8052 6.3544 8.0870 Å, 90.00 112.77 90.00°
Closest atoms and distances in Å follow each position.
Fractional positions:
1 Tb 0.1544 0.2500 0.0252  4 Pd 2.99-3.28
2 Tb 0.8456 0.7500 0.9748  4 Pd 2.99-3.28
3 Ho 0.0208 0.2500 0.3916  2 Pd 2.74-2.98
4 Ho 0.2462 0.7500 0.3485  2 Pd 2.78-2.87
5 Ho 0.4071 0.0043 0.7703  4 Pd 3.05-3.18, 2 Ho 3.12-3.23
6 Ho 0.4071 0.4957 0.7703  4 Pd 3.05-3.18, 2 Ho 3.12-3.23
7 Ho 0.5929 0.5043 0.2297  4 Pd 3.05-3.18, 2 Ho 3.12-3.23
8 Ho 0.5929 0.9957 0.2297  4 Pd 3.05-3.18, 2 Ho 3.12-3.23
9 Ho 0.7538 0.2500 0.6515  2 Pd 2.78-2.87
10 Ho 0.9792 0.7500 0.6084  2 Pd 2.74-2.98
11 Pd 0.2399 0.7500 0.9916  6 Ho 2.87-3.10, 1 Tb 3.03
12 Pd 0.3821 0.2500 0.4192  2 Ho 2.74-2.78, 1 Tb 2.99
13 Pd 0.6179 0.7500 0.5808  2 Ho 2.74-2.78, 1 Tb 2.99
14 Pd 0.7601 0.2500 0.0084  6 Ho 2.87-3.10, 1 Tb 3.03

Calculated density in g/cm³: 9.26

---

Ranked by calculated energy, most stable first: (ii), (i).